Below is a relaxed structure of Ba2Ga3Au, with properties calculated at the PBE level.

magnetization: 0.000 μB per formula unit
space-group type: Fmmm
formation energy from the elements: -306 kJ/mol of formula units

Unit cell a=9.3125 b=9.1151 c=6.7049 alpha=70.24 beta=67.10 gamma=42.66
Closest atoms and distances in Å follow each position.
Atoms (fractional coordinates):
1 Ba 0.2331 0.7669 0.2331  2 Au 3.51, 10 Ga 3.53-3.68
2 Ba 0.2500 0.2500 0.2500  4 Au 3.60, 8 Ga 3.62-3.63
3 Ba 0.7500 0.7500 0.7500  4 Au 3.60, 8 Ga 3.62-3.63
4 Ba 0.7669 0.2331 0.7669  2 Au 3.51, 10 Ga 3.53-3.68
5 Ga 0.1773 0.6591 0.8227  2 Ga 2.54-2.58, 1 Au 2.72
6 Ga 0.3369 0.3369 0.6631  2 Ga 2.54, 1 Au 2.67
7 Ga 0.3409 0.8227 0.6591  2 Ga 2.54-2.58, 1 Au 2.72
8 Ga 0.6591 0.1773 0.3409  2 Ga 2.54-2.58, 1 Au 2.72
9 Ga 0.6631 0.6631 0.3369  2 Ga 2.54, 1 Au 2.67
10 Ga 0.8227 0.3409 0.1773  2 Ga 2.54-2.58, 1 Au 2.72
11 Au 0.1677 0.1677 0.8323  3 Ga 2.67-2.72
12 Au 0.8323 0.8323 0.1677  3 Ga 2.67-2.72

---

Below is a relaxed structure of Dy3Ir2, with properties calculated at the PBE level.

magnetization: 0.000 μB per formula unit
space-group type: C2/m
formation energy from the elements: -382 kJ/mol of formula units
E above lowest polymorph: 0.010 eV per atom

Unit cell a=4.7718 b=4.7718 c=6.0153 alpha=90.11 beta=90.11 gamma=59.88
Closest atoms and distances in Å follow each position.
Atoms (fractional coordinates):
1 Dy 0.0000 0.0000 0.0000  6 Ir 2.94
2 Dy 0.3334 0.3334 0.3359  5 Ir 2.93-3.05
3 Dy 0.6666 0.6666 0.6641  5 Ir 2.93-3.05
4 Ir 0.3333 0.3333 0.8295  8 Dy 2.93-3.05
5 Ir 0.6667 0.6667 0.1705  8 Dy 2.93-3.05

---

Below is a relaxed structure of Tm10Tl3Sb3, with properties calculated at the PBE level.

magnetization: 0.000 μB per formula unit
formation energy without anion corrections: -600 meV/atom
space-group type: P-62m

Unit cell a=8.8345 b=8.8345 c=6.4583 alpha=90.00 beta=90.00 gamma=120.00
Closest atoms and distances in Å follow each position.
Atoms (fractional coordinates):
1 Tm 0.0000 0.2360 0.0000  3 Tl 3.04-3.26
2 Tm 0.0000 0.7637 0.5000  3 Sb 3.04-3.26
3 Tm 0.2360 0.0000 0.0000  3 Tl 3.04-3.26
4 Tm 0.2363 0.2363 0.5000  3 Sb 3.04-3.26
5 Tm 0.3333 0.6667 0.2473  3 Tl 3.15, 3 Sb 3.17, 2 Tm 3.19-3.26
6 Tm 0.3333 0.6667 0.7527  3 Tl 3.15, 3 Sb 3.17, 2 Tm 3.19-3.26
7 Tm 0.6667 0.3333 0.2473  3 Tl 3.15, 3 Sb 3.17, 2 Tm 3.19-3.26
8 Tm 0.6667 0.3333 0.7527  3 Tl 3.15, 3 Sb 3.17, 2 Tm 3.19-3.26
9 Tm 0.7637 0.0000 0.5000  3 Sb 3.04-3.26
10 Tm 0.7640 0.7640 0.0000  3 Tl 3.04-3.26
11 Tl 0.0000 0.6056 0.0000  7 Tm 3.04-3.26
12 Tl 0.3944 0.3944 0.0000  7 Tm 3.04-3.26
13 Tl 0.6056 0.0000 0.0000  7 Tm 3.04-3.26
14 Sb 0.0000 0.3952 0.5000  7 Tm 3.04-3.26
15 Sb 0.3952 0.0000 0.5000  7 Tm 3.04-3.26
16 Sb 0.6048 0.6048 0.5000  7 Tm 3.04-3.26

---

Below is a relaxed structure of Ba2TlH, with properties calculated at the PBE level.

magnetization: 0.001 μB per formula unit
space-group type: P2/m
E above lowest polymorph: 0.099 eV per atom

Unit cell a=4.3504 b=3.9445 c=8.3519 alpha=90.00 beta=90.24 gamma=90.00
Closest atoms and distances in Å follow each position.
Atoms (fractional coordinates):
1 Ba 0.0020 0.0000 0.2619  2 H 2.80
2 Ba 0.9980 0.0000 0.7381  2 H 2.80
3 Tl 0.5000 0.5000 0.0000  8 Ba 3.66, 2 Tl 3.94
4 H 0.0000 0.5000 0.5000  4 Ba 2.80

---

Below is a relaxed structure of Ba4SrSc, with properties calculated at the PBE level.

magnetization: 1.547 μB per formula unit
space-group type: F-43m
formation energy from the elements: 254 kJ/mol of formula units

Unit cell a=7.7172 b=7.7172 c=7.7172 alpha=60.00 beta=60.00 gamma=60.00
Closest atoms and distances in Å follow each position.
Atoms (fractional coordinates):
1 Ba 0.1238 0.1238 0.1238  6 Ba 3.82-3.90
2 Ba 0.1238 0.1238 0.6287  6 Ba 3.82-3.90
3 Ba 0.1238 0.6287 0.1238  6 Ba 3.82-3.90
4 Ba 0.6287 0.1238 0.1238  6 Ba 3.82-3.90
5 Sr 0.5000 0.5000 0.5000  12 Ba 4.53, 4 Sc 4.73
6 Sc 0.7500 0.7500 0.7500  12 Ba 4.52, 4 Sr 4.73

---

Below is a relaxed structure of Sr2SnGeTe5, with properties calculated at the PBE level.

magnetization: 0.000 μB per formula unit
formation energy without anion corrections: -833 meV/atom
space-group type: Cmc2_1

Unit cell a=10.5111 b=10.5111 c=13.3719 alpha=90.00 beta=90.00 gamma=155.44
Closest atoms and distances in Å follow each position.
Atoms (fractional coordinates):
1 Sr 0.1168 0.8832 0.5000  8 Te 3.33-3.71
2 Sr 0.1222 0.8778 0.1364  6 Te 3.36-3.43
3 Sr 0.8778 0.1222 0.6364  6 Te 3.36-3.43
4 Sr 0.8832 0.1168 0.0000  8 Te 3.33-3.71
5 Sn 0.2124 0.7876 0.8482  5 Te 2.97-3.25
6 Sn 0.7876 0.2124 0.3482  5 Te 2.97-3.25
7 Ge 0.4327 0.5673 0.2604  4 Te 2.66-2.76
8 Ge 0.5673 0.4327 0.7604  4 Te 2.66-2.76
9 Te 0.0449 0.9551 0.8764  2 Ge 2.76
10 Te 0.2840 0.7160 0.5064  2 Sn 3.08, 3 Sr 3.43-3.44
11 Te 0.3149 0.6851 0.1772  1 Ge 2.66
12 Te 0.3556 0.6444 0.8207  1 Sn 2.97
13 Te 0.5001 0.4999 0.0910  1 Ge 2.66
14 Te 0.4999 0.5001 0.5910  1 Ge 2.66
15 Te 0.6444 0.3556 0.3207  1 Sn 2.97
16 Te 0.6851 0.3149 0.6772  1 Ge 2.66
17 Te 0.7160 0.2840 0.0064  2 Sn 3.08, 3 Sr 3.43-3.44
18 Te 0.9551 0.0449 0.3764  2 Ge 2.76

---

Below is a relaxed structure of Pm4Cd5Ga2, with properties calculated at the PBE level.

magnetization: 0.000 μB per formula unit
space-group type: P2/m
formation energy from the elements: -386 kJ/mol of formula units

Unit cell a=7.7192 b=3.8695 c=9.6502 alpha=90.00 beta=93.73 gamma=90.00
Closest atoms and distances in Å follow each position.
Atoms (fractional coordinates):
1 Pm 0.1742 0.0000 0.3638  2 Ga 3.07, 8 Cd 3.34-3.37
2 Pm 0.2530 0.0000 0.9356  4 Ga 3.12-3.13, 6 Cd 3.33-3.38
3 Pm 0.7470 0.0000 0.0644  4 Ga 3.12-3.13, 6 Cd 3.33-3.38
4 Pm 0.8258 0.0000 0.6362  2 Ga 3.07, 8 Cd 3.34-3.37
5 Cd 0.1788 0.5000 0.6501  1 Ga 2.91, 2 Cd 2.95-3.22
6 Cd 0.4420 0.5000 0.1895  1 Ga 2.97, 2 Cd 3.00-3.22
7 Cd 0.5000 0.5000 0.5000  4 Cd 2.95-3.00
8 Cd 0.5580 0.5000 0.8105  1 Ga 2.97, 2 Cd 3.00-3.22
9 Cd 0.8212 0.5000 0.3499  1 Ga 2.91, 2 Cd 2.95-3.22
10 Ga 0.0595 0.5000 0.1289  1 Ga 2.60, 1 Cd 2.91
11 Ga 0.9405 0.5000 0.8711  1 Ga 2.60, 1 Cd 2.91

---

Below is a relaxed structure of Rb2GaSe, with properties calculated at the PBE level.

magnetization: 1.000 μB per formula unit
formation energy without anion corrections: -279 meV/atom
space-group type: Fm-3m
E above lowest polymorph: 0.020 eV per atom

Unit cell a=5.9017 b=5.9017 c=5.9017 alpha=60.00 beta=60.00 gamma=60.00
Closest atoms and distances in Å follow each position.
Atoms (fractional coordinates):
1 Rb 0.2500 0.2500 0.2500  4 Se 3.61, 4 Ga 3.61
2 Rb 0.7500 0.7500 0.7500  4 Se 3.61, 4 Ga 3.61
3 Ga 0.0000 0.0000 0.0000  8 Rb 3.61
4 Se 0.5000 0.5000 0.5000  8 Rb 3.61

---

Below is a relaxed structure of TmZrTe3, with properties calculated at the PBE level.

magnetization: 0.000 μB per formula unit
formation energy without anion corrections: -1093 meV/atom
space-group type: P2_1/m
E above lowest polymorph: 0.000 eV per atom

Unit cell a=7.5676 b=4.1222 c=10.3606 alpha=90.00 beta=104.51 gamma=90.00
Closest atoms and distances in Å follow each position.
Atoms (fractional coordinates):
1 Tm 0.2283 0.2500 0.4911  6 Te 2.98-3.12
2 Tm 0.7717 0.7500 0.5089  6 Te 2.98-3.12
3 Zr 0.3800 0.2500 0.8620  6 Te 2.87-3.06
4 Zr 0.6200 0.7500 0.1380  6 Te 2.87-3.06
5 Te 0.0074 0.7500 0.3131  3 Tm 2.98-3.02, 1 Zr 3.04
6 Te 0.2396 0.7500 0.0041  3 Zr 2.87-2.89
7 Te 0.4775 0.7500 0.6730  2 Zr 3.06, 3 Tm 3.09-3.12
8 Te 0.5225 0.2500 0.3270  2 Zr 3.06, 3 Tm 3.09-3.12
9 Te 0.7604 0.2500 0.9959  3 Zr 2.87-2.89
10 Te 0.9926 0.2500 0.6869  3 Tm 2.98-3.02, 1 Zr 3.04

---

Below is a relaxed structure of Hf2Zr3Sc2, with properties calculated at the PBE level.

magnetization: 0.000 μB per formula unit
space-group type: C2/m
formation energy from the elements: 24 kJ/mol of formula units
E above lowest polymorph: 0.000 eV per atom

Unit cell a=7.6219 b=7.6219 c=7.8022 alpha=118.42 beta=118.42 gamma=24.01
Closest atoms and distances in Å follow each position.
Atoms (fractional coordinates):
1 Hf 0.1457 0.1457 0.3481  5 Zr 3.04-3.34, 4 Hf 3.17-3.26, 4 Sc 3.30
2 Hf 0.8543 0.8543 0.6519  5 Zr 3.04-3.34, 4 Hf 3.17-3.26, 4 Sc 3.30
3 Zr 0.2056 0.2056 0.7800  3 Sc 2.97-3.18, 3 Hf 3.04-3.25, 4 Zr 3.17-3.19
4 Zr 0.5000 0.5000 0.5000  2 Sc 2.98, 6 Zr 3.17-3.19, 4 Hf 3.34
5 Zr 0.7944 0.7944 0.2200  3 Sc 2.97-3.18, 3 Hf 3.04-3.25, 4 Zr 3.17-3.19
6 Sc 0.4281 0.4281 0.0703  3 Sc 2.85-3.17, 4 Zr 2.97-3.18
7 Sc 0.5719 0.5719 0.9297  3 Sc 2.85-3.17, 4 Zr 2.97-3.18

---

Below is a relaxed structure of NdThCo2, with properties calculated at the PBE level.

magnetization: 0.000 μB per formula unit
space-group type: Pmc2_1
formation energy from the elements: -65 kJ/mol of formula units
E above lowest polymorph: 0.015 eV per atom

Unit cell a=3.9298 b=5.9801 c=7.2554 alpha=90.00 beta=90.00 gamma=90.00
Closest atoms and distances in Å follow each position.
Atoms (fractional coordinates):
1 Nd 0.0000 0.1041 0.0000  7 Co 2.89-3.22
2 Nd 0.0000 0.8959 0.5000  7 Co 2.89-3.22
3 Th 0.5000 0.3985 0.6324  6 Co 2.76-2.85
4 Th 0.5000 0.6015 0.1324  6 Co 2.76-2.85
5 Co 0.0000 0.4089 0.3660  2 Co 2.50, 2 Th 2.76
6 Co 0.0000 0.5911 0.8660  2 Co 2.50, 2 Th 2.76
7 Co 0.5000 0.1671 0.2883  2 Co 2.50
8 Co 0.5000 0.8329 0.7883  2 Co 2.50

---

Below is a relaxed structure of AgPtNF2, with properties calculated at the PBE level.

magnetization: 1.447 μB per formula unit
formation energy without anion corrections: 835 meV/atom
space-group type: P4/mmm
E above lowest polymorph: 0.963 eV per atom

Unit cell a=4.1078 b=4.1078 c=4.3145 alpha=90.00 beta=90.00 gamma=90.00
Closest atoms and distances in Å follow each position.
Atoms (fractional coordinates):
1 Ag 0.0000 0.0000 0.0000  4 F 2.05, 2 N 2.16
2 Pt 0.5000 0.5000 0.5000  4 N 2.90, 8 F 2.98
3 N 0.0000 0.0000 0.5000  2 Ag 2.16
4 F 0.0000 0.5000 0.0000  2 Ag 2.05
5 F 0.5000 0.0000 0.0000  2 Ag 2.05

---

Below is a relaxed structure of YTa2Cd, with properties calculated at the PBE level.

magnetization: 0.000 μB per formula unit
space-group type: Pm
formation energy from the elements: 54 kJ/mol of formula units

Unit cell a=3.5094 b=3.5093 c=7.2252 alpha=90.00 beta=90.09 gamma=90.00
Closest atoms and distances in Å follow each position.
Atoms (fractional coordinates):
1 Y 0.0000 0.0000 0.0000  5 Ta 3.20-3.26, 4 Cd 3.27, 4 Y 3.51
2 Ta 0.0008 0.0000 0.4517  4 Ta 2.77, 4 Cd 3.08-3.09
3 Ta 0.5002 0.5000 0.2805  4 Ta 2.77, 1 Cd 3.07
4 Cd 0.5004 0.5000 0.7056  5 Ta 3.07-3.09, 4 Y 3.27

---

Below is a relaxed structure of La2SbH, with properties calculated at the PBE level.

magnetization: 0.000 μB per formula unit
space-group type: I-42d
E above lowest polymorph: 0.000 eV per atom

Unit cell a=6.4662 b=6.4662 c=6.4662 alpha=108.85 beta=108.85 gamma=110.73
Closest atoms and distances in Å follow each position.
Atoms (fractional coordinates):
1 La 0.0460 0.6250 0.9210  2 H 2.46
2 La 0.3750 0.2960 0.4210  2 H 2.46
3 La 0.7040 0.1250 0.0790  2 H 2.46
4 La 0.8750 0.9540 0.5790  2 H 2.46
5 Sb 0.2500 0.7500 0.5000  8 La 3.24-3.58
6 Sb 0.5000 0.5000 0.0000  8 La 3.24-3.58
7 H 0.0000 0.0000 0.0000  4 La 2.46
8 H 0.7500 0.2500 0.5000  4 La 2.46

---

Below is a relaxed structure of NaNiP2S, with properties calculated at the PBE level.

magnetization: 0.575 μB per formula unit
formation energy without anion corrections: 176 meV/atom
space-group type: P4/mmm
E above lowest polymorph: 0.000 eV per atom

Unit cell a=4.3164 b=4.3164 c=5.1387 alpha=90.00 beta=90.00 gamma=90.00
Closest atoms and distances in Å follow each position.
Atoms (fractional coordinates):
1 Na 0.0000 0.0000 0.0000  4 S 3.05, 8 P 3.36
2 Ni 0.5000 0.5000 0.5000  4 P 2.16
3 P 0.0000 0.5000 0.5000  2 Ni 2.16
4 P 0.5000 0.0000 0.5000  2 Ni 2.16
5 S 0.5000 0.5000 0.0000  2 Ni 2.57

---

Below is a relaxed structure of CeThCd2, with properties calculated at the PBE level.

magnetization: 0.485 μB per formula unit
space-group type: R-3m
formation energy from the elements: -7 kJ/mol of formula units
E above lowest polymorph: 0.103 eV per atom

Unit cell a=11.5815 b=11.5815 c=11.5815 alpha=16.37 beta=16.37 gamma=16.37
Closest atoms and distances in Å follow each position.
Atoms (fractional coordinates):
1 Ce 0.0000 0.0000 0.0000  6 Ce 3.30, 6 Cd 3.40
2 Th 0.5000 0.5000 0.5000  6 Th 3.30, 6 Cd 3.47
3 Cd 0.2511 0.2511 0.2511  6 Cd 3.30, 3 Ce 3.40, 3 Th 3.47
4 Cd 0.7489 0.7489 0.7489  6 Cd 3.30, 3 Ce 3.40, 3 Th 3.47

---

Below is a relaxed structure of HoSc5In6, with properties calculated at the PBE level.

magnetization: 2.176 μB per formula unit
space-group type: Immm
formation energy from the elements: -499 kJ/mol of formula units

Unit cell a=8.4856 b=8.4856 c=8.4856 alpha=148.45 beta=118.38 gamma=70.88
Closest atoms and distances in Å follow each position.
Atoms (fractional coordinates):
1 Ho 0.0000 0.0000 0.0000  8 In 3.20, 4 Sc 3.28
2 Sc 0.1689 0.6689 0.5000  8 In 3.11-3.22, 2 Sc 3.23, 2 Ho 3.28
3 Sc 0.3326 0.3326 0.0000  8 In 3.15-3.16, 4 Sc 3.23-3.27
4 Sc 0.5000 0.0000 0.5000  8 In 3.14-3.17, 4 Sc 3.27
5 Sc 0.6674 0.6674 0.0000  8 In 3.15-3.16, 4 Sc 3.23-3.27
6 Sc 0.8311 0.3311 0.5000  8 In 3.11-3.22, 2 Sc 3.23, 2 Ho 3.28
7 In 0.0840 0.8316 0.2524  7 Sc 3.11-3.18, 1 Ho 3.20, 4 In 3.23-3.28
8 In 0.2551 0.5000 0.7551  6 Sc 3.14-3.22, 2 Ho 3.20, 4 In 3.28
9 In 0.4209 0.1684 0.2524  7 Sc 3.11-3.18, 1 Ho 3.20, 4 In 3.23-3.28
10 In 0.5791 0.8316 0.7476  7 Sc 3.11-3.18, 1 Ho 3.20, 4 In 3.23-3.28
11 In 0.7449 0.5000 0.2449  6 Sc 3.14-3.22, 2 Ho 3.20, 4 In 3.28
12 In 0.9160 0.1684 0.7476  7 Sc 3.11-3.18, 1 Ho 3.20, 4 In 3.23-3.28

---

Below is a relaxed structure of Hf2ZrPdW, with properties calculated at the PBE level.

magnetization: 0.000 μB per formula unit
space-group type: P4/mmm
formation energy from the elements: 421 kJ/mol of formula units

Unit cell a=4.9630 b=4.9630 c=4.8746 alpha=90.00 beta=90.00 gamma=90.00
Closest atoms and distances in Å follow each position.
Atoms (fractional coordinates):
1 Hf 0.0000 0.5000 0.0000  2 W 2.48
2 Hf 0.5000 0.0000 0.0000  2 W 2.48
3 Zr 0.0000 0.0000 0.5000  8 Hf 3.48, 4 Pd 3.51
4 Pd 0.5000 0.5000 0.5000  2 W 2.44
5 W 0.5000 0.5000 0.0000  2 Pd 2.44, 4 Hf 2.48

---

Below is a relaxed structure of SiTcPd, with properties calculated at the PBE level.

magnetization: 0.000 μB per formula unit
formation energy without anion corrections: -404 meV/atom
space-group type: I4/mmm

Unit cell a=10.5137 b=10.5137 c=10.5137 alpha=164.08 beta=164.08 gamma=22.58
Closest atoms and distances in Å follow each position.
Atoms (fractional coordinates):
1 Si 0.1333 0.1333 0.0000  4 Pd 2.50, 4 Tc 2.57
2 Si 0.8667 0.8667 0.0000  4 Pd 2.50, 4 Tc 2.57
3 Tc 0.2920 0.2920 0.0000  4 Si 2.57, 4 Tc 2.69
4 Tc 0.7080 0.7080 0.0000  4 Si 2.57, 4 Tc 2.69
5 Pd 0.4353 0.4353 0.0000  4 Si 2.50, 1 Pd 2.67
6 Pd 0.5647 0.5647 0.0000  4 Si 2.50, 1 Pd 2.67

---

Below is a relaxed structure of FeMoRh2, with properties calculated at the PBE level.

magnetization: 2.238 μB per formula unit
space-group type: Fm-3m
formation energy from the elements: 46 kJ/mol of formula units
E above lowest polymorph: 0.263 eV per atom

Unit cell a=4.3348 b=4.3348 c=4.3348 alpha=60.00 beta=60.00 gamma=60.00
Closest atoms and distances in Å follow each position.
Atoms (fractional coordinates):
1 Fe 0.0000 0.0000 0.0000  8 Rh 2.65
2 Mo 0.5000 0.5000 0.5000  8 Rh 2.65
3 Rh 0.2500 0.2500 0.2500  4 Fe 2.65, 4 Mo 2.65
4 Rh 0.7500 0.7500 0.7500  4 Mo 2.65, 4 Fe 2.65